Record 1
Density functional theory data (PBE) for a relaxed structure of PrDy6Er2.

```
9
Lattice="9.225 -1.778 0.000 9.225 1.778 0.000 -0.018 0.000 8.692" Properties=species:S:1:pos:R:3 pbc="T T T"
Pr 0.000 0.000 0.000
Dy 2.044 0.000 5.779
Dy 4.088 0.000 2.910
Dy 6.126 0.000 0.005
Dy 12.306 0.000 8.688
Dy 14.344 0.000 5.782
Dy 16.389 0.000 2.913
Er 8.183 0.000 5.769
Er 10.249 0.000 2.923
```

Summary:
Spin magnetization ... 0.00 Bohr magnetons per cell
V ... 31.692 Å³/atom
Energy relative to the lowest polymorph listed for this composition ... 0 meV per atom
Theoretical density ... 8.44 g/cm³
Formation energy from the elements ... 19 meV/atom


Record 2
Density functional theory data (PBE) for a relaxed structure of Pr3DyEr.

```
10
Lattice="3.140 -9.117 0.000 3.140 9.117 0.000 -2.030 0.000 5.952" Properties=species:S:1:pos:R:3 pbc="T T T"
Pr 1.618 8.168 4.464
Pr 1.618 4.559 4.464
Pr 1.618 0.944 4.464
Pr 2.633 -0.944 1.488
Pr 2.633 -4.559 1.488
Pr 2.633 -8.168 1.488
Dy 2.633 6.368 1.488
Dy 1.618 -6.368 4.464
Er 2.633 2.748 1.488
Er 1.618 -2.748 4.464
```

Summary:
Spin magnetization ... 0.00 Bohr magnetons per cell
V ... 34.079 Å³/atom
Energy relative to the lowest polymorph listed for this composition ... 0 meV per atom
Theoretical density ... 7.33 g/cm³
Formation energy from the elements ... 17 meV/atom


Record 3
Density functional theory data (PBE) for a relaxed structure of Pr5Dy3Er2.

```
20
Lattice="5.385 -7.450 0.000 5.385 7.450 0.000 -5.383 0.000 8.543" Properties=species:S:1:pos:R:3 pbc="T T T"
Pr 1.347 7.176 6.407
Pr -1.360 1.935 6.468
Pr 1.347 4.047 6.407
Pr 1.331 -1.935 2.196
Pr 4.039 0.335 2.136
Pr 1.347 -0.335 6.407
Pr 4.054 1.935 6.347
Pr 4.039 -4.047 2.136
Pr 6.746 -1.935 2.076
Pr 4.039 -7.176 2.136
Dy 1.341 1.865 3.775
Dy 4.039 3.406 2.136
Dy -1.351 -1.865 8.047
Dy 6.737 1.865 0.496
Dy 1.347 -3.406 6.407
Dy 4.045 -1.865 4.768
Er 1.338 1.920 0.503
Er -1.354 -1.920 4.775
Er 6.739 1.920 3.769
Er 4.048 -1.920 8.040
```

Summary:
Spin magnetization ... 0.00 Bohr magnetons per cell
V ... 34.269 Å³/atom
Theoretical density ... 7.40 g/cm³
Formation energy from the elements ... 172 meV/atom


Record 4
Density functional theory data (PBE) for a relaxed structure of Pr5Dy2Er12.

```
19
Lattice="9.171 -3.520 0.000 9.171 3.520 0.000 -3.756 0.000 9.675" Properties=species:S:1:pos:R:3 pbc="T T T"
Pr 0.000 0.000 0.000
Pr 0.877 0.000 6.588
Pr 4.759 0.000 2.798
Pr 9.826 0.000 6.878
Pr 13.708 0.000 3.088
Dy 7.293 1.599 4.838
Dy 7.293 -1.599 4.838
Er -2.348 0.000 7.214
Er 2.503 1.740 9.482
Er 3.905 1.779 6.118
Er 10.680 1.779 3.557
Er 12.082 1.740 0.193
Er 6.040 0.000 7.978
Er 8.545 0.000 1.698
Er 2.503 -1.740 9.482
Er 3.905 -1.779 6.118
Er 10.680 -1.779 3.557
Er 12.082 -1.740 0.193
Er 16.934 0.000 2.462
```

Summary:
Spin magnetization ... 0.00 Bohr magnetons per cell
V ... 32.877 Å³/atom
Energy relative to the lowest polymorph listed for this composition ... 62 meV per atom
Theoretical density ... 8.07 g/cm³
Formation energy from the elements ... 180 meV/atom


Q: Number 2 is which compound?
A: Pr3DyEr


Q: Which of these has the highest formation energy from the elements?
A: Pr5Dy2Er12


Q: Look up the formation energy from the elements of the third one.
A: 172 meV/atom


Q: The highest theoretical density belongs to which entry?
A: PrDy6Er2